Computed, not measured: Fe2SbF after structural relaxation at the PBE with a Hubbard U level of DFT.

Calculated values
Distance to the lowest polymorph of the same formula   310.4 meV/atom
SG   Fm-3m (225)
Raw total energy   -4.32 eV per atom

a = 4.5677 Å, b = 4.5677 Å, c = 4.5677 Å
α = 60.00°, β = 60.00°, γ = 60.00°
Last column: nearest neighbours and their distance in Å.
Fractional positions:
Sb  0.5000  0.5000  0.5000  8 Fe 2.80
Fe  0.7500  0.7500  0.7500  4 Sb 2.80, 4 F 2.80
Fe  0.2500  0.2500  0.2500  4 Sb 2.80, 4 F 2.80
F  0.0000  0.0000  0.0000  8 Fe 2.80